(1)
First-principles (PBE-GGA) data for an optimized crystal structure of Li2AcF7, as listed in Alexandria via LeMat-Bulk.

a b c (Å): 6.3682 10.4820 3.8458
angles (deg): 90.00 90.00 90.00
With the nearest neighbours (Å) after each atom.
Space group Cmmm (No. 65)
Symmetry-distinct sites (fractional):
Li 0.0000 0.2023 0.0000 [4 per cell]  5 F 2.00-2.12
Ac 0.0000 0.5000 0.5000 [2 per cell]  10 F 2.58-2.63
F 0.0000 0.0000 0.0000 [2 per cell]  2 Li 2.12, 4 F 2.27
F 0.0000 0.2538 0.5000 [4 per cell]  2 Li 2.00
F 0.2022 0.3809 0.0000 [8 per cell]  2 Li 2.09-2.27, 1 F 2.27

Properties
Energy relative to the elements, uncorrected in eV/atom: -2.697
VASP energy in eV/atom: -4.801
Size of the total moment in μB per cell: 4.0

(2)
First-principles (PBE-GGA) data for an optimized crystal structure of LiAcF3, as listed in Alexandria via LeMat-Bulk.

a b c (Å): 7.8311 5.3466 8.2522
angles (deg): 90.00 103.98 90.00
With the nearest neighbours (Å) after each atom.
Space group P2_1/c (No. 14)
Symmetry-distinct sites (fractional):
Li 0.0606 0.2365 0.0177 [4 per cell]  4 F 1.92-2.02
Ac 0.3128 0.7405 0.3284 [4 per cell]  6 F 2.47-2.76
F 0.0250 0.5021 0.3365 [4 per cell]  2 Li 1.93-1.96
F 0.1649 0.5633 0.0390 [4 per cell]  2 Li 1.92-2.02
F 0.4869 0.1312 0.3598 [4 per cell]  3 Ac 2.47-2.76, 2 F 2.67-2.68

Properties
Offset from the most stable computed form in eV/f.u.: 0.00
Energy relative to the elements, uncorrected in eV/atom: -3.233
VASP energy in eV/atom: -5.561
Size of the total moment in μB per cell: 0.0

Q: Among the records above, which one has the highest energy relative to the elements, uncorrected?
A: Li2AcF7